No. 1
Crystalline Ag2TeAu at its relaxed geometry, computed with PBE-GGA.

Calculated values
* total DFT energy (no corrections): -2.910 eV per atom
* energy relative to the elements, uncorrected: 120 meV per atom
* density of states at the Fermi level: 0.549 states/eV per atom

Cell lengths 4.234, 4.234, 19.669 Å; angles 90.00, 90.00, 90.00 degrees
Space group I-42d (No. 122)
Symmetry-distinct sites (fractional):
Ag 0.240 0.250 0.125 [8 per cell]
Te 0.000 0.000 0.500 [4 per cell]
Au 0.000 0.000 0.000 [4 per cell]

No. 2
Crystalline La5PrNd8 at its relaxed geometry, computed with PBE-GGA.

Calculated values
* total DFT energy (no corrections): -4.622 eV per atom
* E_form: 0.20 eV/atom
* density of states at the Fermi level: 1.544 states/eV per atom

Cell lengths 9.825, 9.825, 10.539 Å; angles 90.00, 90.00, 90.00 degrees
Space group I-4 (No. 82)
Symmetry-distinct sites (fractional):
La 0.000 0.000 0.000 [2 per cell]
La 0.107 0.787 0.573 [8 per cell]
Pr 0.000 0.500 0.250 [2 per cell]
Nd 0.074 0.675 0.894 [8 per cell]
Nd 0.076 0.818 0.242 [8 per cell]

No. 3
Crystalline EuTmCdHg at its relaxed geometry, computed with PBE-GGA.

Calculated values
* total DFT energy (no corrections): -4.373 eV per atom
* E_form: -0.38 eV/atom
* density of states at the Fermi level: 2.080 states/eV per atom

Cell lengths 7.578, 7.578, 7.578 Å; angles 90.00, 90.00, 90.00 degrees
Space group F-43m (No. 216)
Symmetry-distinct sites (fractional):
Eu 0.000 0.000 0.000 [4 per cell]
Tm 0.000 0.000 0.500 [4 per cell]
Cd 0.250 0.250 0.250 [4 per cell]
Hg 0.250 0.250 0.750 [4 per cell]

No. 4
Crystalline K2SrAgBr5 at its relaxed geometry, computed with PBE-GGA.

Calculated values
* total DFT energy (no corrections): -3.240 eV per atom
* energy relative to the elements, uncorrected: -1563 meV per atom
* density of states at the Fermi level: 0.000 states/eV per atom

Cell lengths 4.534, 19.454, 14.268 Å; angles 90.00, 90.00, 90.00 degrees
Space group Cmc2_1 (No. 36)
Symmetry-distinct sites (fractional):
K 0.000 0.103 0.000 [4 per cell]
K 0.000 0.124 0.649 [4 per cell]
Sr 0.000 0.207 0.347 [4 per cell]
Ag 0.000 0.453 0.764 [4 per cell]
Br 0.000 0.050 0.367 [4 per cell]
Br 0.000 0.285 0.994 [4 per cell]
Br 0.000 0.305 0.702 [4 per cell]
Br 0.000 0.361 0.329 [4 per cell]
Br 0.000 0.496 0.093 [4 per cell]

No. 5
Crystalline LiBeF2 at its relaxed geometry, computed with PBE-GGA.

Calculated values
* total DFT energy (no corrections): -3.714 eV per atom
* energy relative to the elements, uncorrected: -1369 meV per atom
* density of states at the Fermi level: 0.293 states/eV per atom

Cell lengths 5.396, 5.396, 5.396 Å; angles 90.00, 90.00, 90.00 degrees
Space group Fm-3m (No. 225)
Symmetry-distinct sites (fractional):
Li 0.000 0.000 0.000 [4 per cell]
Be 0.000 0.000 0.500 [4 per cell]
F 0.250 0.250 0.250 [8 per cell]

No. 6
Crystalline Pr4CdAg2 at its relaxed geometry, computed with PBE-GGA.

Calculated values
* total DFT energy (no corrections): -3.803 eV per atom
* E_form: -0.13 eV/atom
* density of states at the Fermi level: 1.249 states/eV per atom

Cell lengths 5.3397, 5.3397, 25.6326 Å; angles 90.00, 90.00, 120.00 degrees
Space group R-3m (No. 166, hexagonal axes)
Symmetry-distinct sites (fractional):
Pr 0.0000 0.0000 0.1173 [6 per cell]
Pr 0.0000 0.0000 0.3701 [6 per cell]
Cd 0.0000 0.0000 0.5000 [3 per cell]
Ag 0.0000 0.0000 0.2440 [6 per cell]

No. 7
Crystalline YV2Ga2 at its relaxed geometry, computed with PBE-GGA.

Calculated values
* total DFT energy (no corrections): -6.290 eV per atom
* E_form: -0.14 eV/atom
* density of states at the Fermi level: 0.886 states/eV per atom

Cell lengths 7.812, 7.812, 2.781 Å; angles 90.00, 90.00, 90.00 degrees
Space group P4/mbm (No. 127)
Symmetry-distinct sites (fractional):
Y 0.000 0.000 0.000 [2 per cell]
V 0.108 0.392 0.000 [4 per cell]
Ga 0.182 0.682 0.500 [4 per cell]